MnPbW2 | SCAN | PBEsol geometry

Properties
* formation energy from the elements: 0.87 eV/atom
* volume: 16.58 Å³ per atom

a b c (Å): 5.383 8.351 2.951
angles (deg): 90.00 90.00 90.00
Space group Cmmm (No. 65)
Asymmetric unit:
Mn  0.000  0.000  0.000 x2
Pb  0.000  0.500  0.000 x2
W  0.250  0.250  0.500 x4